# 1
This record from Alexandria via LeMat-Bulk describes LaHW2 after structural relaxation. The functional is GGA-PBE.

Summary:
Space-group type: Fm-3m, No. 225

Geometry as POSCAR:
```
LaHW2
1.0
-0.2509 -4.3276 1.2912
2.0441 -1.3474 3.8033
-2.4704 -1.1427 3.6125
H W La
1 2 1
direct
0.0000 0.0000 0.0000 H
0.2500 0.2500 0.2500 W
0.7500 0.7500 0.7500 W
0.5000 0.5000 0.5000 La
```

---

# 2
This record from Alexandria via LeMat-Bulk describes LaH2W after structural relaxation. The functional is GGA-PBE.

Summary:
Space-group type: I-42d, No. 122

Geometry as POSCAR:
```
LaH2W
1.0
-2.5620 4.4666 1.3783
0.1264 -1.5050 5.1121
2.0127 3.2021 3.6721
H W La
4 2 2
direct
0.7029 0.1250 0.2500 H
0.0471 0.6250 0.2500 H
0.3750 0.2971 0.7500 H
0.8750 0.9529 0.7500 H
0.0000 0.0000 0.0000 W
0.7500 0.2500 0.5000 W
0.5000 0.5000 0.0000 La
0.2500 0.7500 0.5000 La
```

---

# 3
This record from Alexandria via LeMat-Bulk describes LaH2W after structural relaxation. The functional is GGA-PBE.

Summary:
Space-group type: Fm-3m, No. 225

Geometry as POSCAR:
```
LaH2W
1.0
0.0000 2.9920 2.9920
2.9920 0.0000 2.9920
2.9920 2.9920 0.0000
H W La
2 1 1
direct
0.2500 0.2500 0.2500 H
0.7500 0.7500 0.7500 H
0.5000 0.5000 0.5000 W
0.0000 0.0000 0.0000 La
```

---

| no. | energy above the lowest structure with this stoichiometry (eV/atom) |
| --- | --- |
| 1 | 1.499 |
| 2 | 0.000 |
| 3 | 0.677 |